This record from Alexandria via LeMat-Bulk describes a relaxed MnIr2Au crystal. The functional is PBE.

a = 9.034 Å, b = 9.034 Å, c = 9.034 Å
α = 17.87°, β = 17.87°, γ = 17.87°
Sites, in units of the cell vectors:
Mn (0.000, 0.000, 0.000)
Ir (0.259, 0.259, 0.259)
Ir (0.741, 0.741, 0.741)
Au (0.500, 0.500, 0.500)

Its magnetization is 3.38 μB per cell. The total energy comes out at -7.460 eV per atom. For the energy of formation from the pure elements, the calculation gives 0.083 eV per atom.